1.
# LiLaIr4 (PBEsol, relaxed)
data_LiLaIr4
_chemical_formula_sum 'Li4 La4 Ir16'
_cell_length_a 7.472
_cell_length_b 7.472
_cell_length_c 7.472
_cell_angle_alpha 90.00
_cell_angle_beta 90.00
_cell_angle_gamma 90.00
_symmetry_space_group_name_H-M 'F -4 3 m'
_symmetry_Int_Tables_number 216
_symmetry_space_group_name_Hall 'F -4 2 3'
loop_
_atom_site_label
_atom_site_fract_x
_atom_site_fract_y
_atom_site_fract_z
_atom_site_occupancy
Li1 0.000 0.000 0.000 1
La1 0.250 0.250 0.750 1
Ir1 0.125 0.125 0.375 1
# calculated formation energy: -0.323 eV per atom
# DOS at the Fermi energy: 6.010 states/eV/f.u.
# crystal system: cubic


2.
# LiLaIr (PBEsol, relaxed)
data_LiLaIr
_chemical_formula_sum 'Li4 La4 Ir4'
_cell_length_a 6.165
_cell_length_b 6.165
_cell_length_c 6.165
_cell_angle_alpha 90.00
_cell_angle_beta 90.00
_cell_angle_gamma 90.00
_symmetry_space_group_name_H-M 'F -4 3 m'
_symmetry_Int_Tables_number 216
_symmetry_space_group_name_Hall 'F -4 2 3'
loop_
_atom_site_label
_atom_site_fract_x
_atom_site_fract_y
_atom_site_fract_z
_atom_site_occupancy
Li1 0.000 0.000 0.000 1
La1 0.250 0.250 0.250 1
Ir1 0.250 0.250 0.750 1
# calculated formation energy: -0.108 eV per atom
# DOS at the Fermi energy: 1.073 states/eV/f.u.
# relative energy among the computed polymorphs: 54 meV per atom
# crystal system: cubic


3.
# LiLa2Ir2 (PBEsol, relaxed)
data_LiLa2Ir2
_chemical_formula_sum 'Li2 La4 Ir4'
_cell_length_a 7.684
_cell_length_b 7.684
_cell_length_c 3.798
_cell_angle_alpha 90.00
_cell_angle_beta 90.00
_cell_angle_gamma 90.00
_symmetry_space_group_name_H-M 'P 4/m b m'
_symmetry_Int_Tables_number 127
_symmetry_space_group_name_Hall '-P 4 2ab'
loop_
_atom_site_label
_atom_site_fract_x
_atom_site_fract_y
_atom_site_fract_z
_atom_site_occupancy
Li1 0.000 0.000 0.000 1
La1 0.162 0.338 0.500 1
Ir1 0.138 0.638 0.000 1
# calculated formation energy: -0.422 eV per atom
# DOS at the Fermi energy: 3.197 states/eV/f.u.
# crystal system: tetragonal


Q: DOS at the Fermi energy of number 2 (LiLaIr)?
A: 1.073 states/eV/f.u.


Q: The highest DOS at the Fermi energy belongs to which entry?
A: LiLaIr4